No. 1
First-principles (PBE) data for a geometry-optimized BaZrSb2Te structure, as listed in Alexandria via LeMat-Bulk.

Cell: 5.6153 5.6153 5.7007 Å, 90.00 90.00 90.00°
Atoms (fractional coordinates):
1 Sb 0.0000 0.5000 0.0000
2 Sb 0.5000 0.0000 0.0000
3 Te 0.0000 0.0000 0.5000
4 Ba 0.5000 0.5000 0.5000
5 Zr 0.0000 0.0000 0.0000

Computed properties:
formation energy from raw total energies	-0.626	eV/atom
magnetization	0.00	μB/atom
symmetry	P4/mmm
distance to the lowest polymorph of the same formula	0.0	meV/atom
crystal system	tetragonal
calculated density	5.54	Mg/m³

=====

No. 2
First-principles (PBE) data for a geometry-optimized BaThSb structure, as listed in Alexandria via LeMat-Bulk.

Cell: 4.8508 4.8508 9.5442 Å, 90.00 90.00 90.00°
Atoms (fractional coordinates):
1 Ba 0.0000 0.5000 0.8556
2 Ba 0.5000 0.0000 0.1444
3 Sb 0.0000 0.5000 0.2531
4 Sb 0.5000 0.0000 0.7469
5 Th 0.5000 0.5000 0.5000
6 Th 0.0000 0.0000 0.5000

Computed properties:
formation energy from raw total energies	-0.682	eV/atom
magnetization	0.00	μB/atom
symmetry	P4/nmm
crystal system	tetragonal
calculated density	7.26	Mg/m³

=====

No. 3
First-principles (PBE) data for a geometry-optimized BaThSb2 structure, as listed in Alexandria via LeMat-Bulk.

Cell: 4.6525 4.6525 8.6484 Å, 74.40 74.40 60.00°
Atoms (fractional coordinates):
1 Ba 0.4976 0.4976 0.5072
2 Th 0.6680 0.6680 0.9960
3 Sb 0.0723 0.0723 0.7830
4 Sb 0.2621 0.2621 0.2138

Computed properties:
formation energy from raw total energies	-0.960	eV/atom
magnetization	0.00	μB/atom
symmetry	R3m
distance to the lowest polymorph of the same formula	59.5	meV/atom
crystal system	trigonal
calculated density	6.60	Mg/m³

=====

No. 4
First-principles (PBE) data for a geometry-optimized BaTh2Sb3 structure, as listed in Alexandria via LeMat-Bulk.

Cell: 6.5736 8.0944 9.2183 Å, 106.54 90.00 113.96°
Atoms (fractional coordinates):
1 Ba 0.0004 0.0000 0.2500
2 Ba 0.9996 0.0000 0.7500
3 Th 0.3374 0.6745 0.4186
4 Th 0.3370 0.6745 0.9186
5 Th 0.6630 0.3255 0.0814
6 Th 0.6626 0.3255 0.5814
7 Sb 0.4996 0.0000 0.7500
8 Sb 0.5004 0.0000 0.2500
9 Sb 0.8182 0.6367 0.9092
10 Sb 0.1815 0.3633 0.5908
11 Sb 0.8185 0.6367 0.4092
12 Sb 0.1818 0.3633 0.0908

Computed properties:
formation energy from raw total energies	-0.940	eV/atom
magnetization	0.00	μB/atom
symmetry	C2/c
crystal system	monoclinic
calculated density	7.54	Mg/m³

=====

Question: Which value of calculated density does entry 4 give?
Answer: 7.54 Mg/m³

=====

Question: Among the records above, which one has the lowest formation energy from raw total energies?
Answer: BaThSb2